--- w ---
Material: Ba2Li2Si
Method: DFT, PBE
State: relaxed

a b c (Å): 8.9899 8.9899 5.1844
angles (deg): 90.00 90.00 90.00
Sites, in units of the cell vectors:
Ba  0.8257  0.6743  0.0000
Si  0.5000  0.5000  0.0000
Ba  0.1743  0.3257  0.0000
Li  0.8772  0.3772  0.5000
Si  0.0000  0.0000  0.0000
Li  0.1228  0.6228  0.5000
Ba  0.6743  0.1743  0.0000
Li  0.6228  0.8772  0.5000
Ba  0.3257  0.8257  0.0000
Li  0.3772  0.1228  0.5000



--- x ---
Material: Ba2Li2Si
Method: DFT, PBE
State: relaxed

a b c (Å): 4.5355 4.5355 10.0625
angles (deg): 76.98 76.98 60.00
Sites, in units of the cell vectors:
Li  0.3184  0.3184  0.0449
Si  0.0000  0.0000  0.0000
Li  0.6816  0.6816  0.9551
Ba  0.5759  0.5759  0.2722
Ba  0.4241  0.4241  0.7278



Preferred: x; penalty for the next structure: 483 meV per atom.



--- w ---
Material: Ba2Li2Si
Method: DFT, PBE
State: relaxed

a b c (Å): 4.0460 4.0460 10.8750
angles (deg): 79.28 79.28 90.00
Sites, in units of the cell vectors:
Li  0.2500  0.7500  0.5000
Ba  0.4112  0.4112  0.1776
Si  0.0000  0.0000  0.0000
Ba  0.5888  0.5888  0.8224
Li  0.7500  0.2500  0.5000



--- x ---
Material: Ba2Li2Si
Method: DFT, PBE
State: relaxed

a b c (Å): 7.3777 7.3777 5.3631
angles (deg): 90.00 90.00 90.00
Sites, in units of the cell vectors:
Si  0.5000  0.5000  0.0000
Li  0.1430  0.3570  0.0000
Ba  0.8025  0.3025  0.5000
Ba  0.1975  0.6975  0.5000
Ba  0.3025  0.1975  0.5000
Li  0.3570  0.8570  0.0000
Si  0.0000  0.0000  0.0000
Li  0.6430  0.1430  0.0000
Li  0.8570  0.6430  0.0000
Ba  0.6975  0.8025  0.5000



Preferred: w; penalty for the next structure: 7 meV per atom.



--- w ---
Material: BaLiSi3
Method: DFT, PBE
State: relaxed

a b c (Å): 5.7260 5.7260 5.7260
angles (deg): 90.00 90.00 90.00
Sites, in units of the cell vectors:
Si  0.0000  0.5000  0.0000
Si  0.5000  0.0000  0.0000
Si  0.0000  0.0000  0.5000
Ba  0.0000  0.0000  0.0000
Li  0.5000  0.5000  0.5000



--- x ---
Material: BaLiSi3
Method: DFT, PBE
State: relaxed

a b c (Å): 4.7817 4.7817 4.7817
angles (deg): 90.00 90.00 90.00
Sites, in units of the cell vectors:
Li  0.0000  0.0000  0.0000
Si  0.0000  0.0000  0.5000
Ba  0.5000  0.5000  0.5000
Si  0.5000  0.0000  0.0000
Si  0.0000  0.5000  0.0000



Preferred: x; penalty for the next structure: 1209 meV per atom.



--- w ---
Material: Ba2LiSm
Method: DFT, PBE
State: relaxed

a b c (Å): 4.1650 4.1650 9.9418
angles (deg): 90.00 90.00 90.00
Sites, in units of the cell vectors:
Ba  0.0000  0.0000  0.7718
Li  0.5000  0.5000  0.0000
Sm  0.5000  0.5000  0.5000
Ba  0.0000  0.0000  0.2282



--- x ---
Material: Ba2LiSm
Method: DFT, PBE
State: relaxed

a b c (Å): 3.8339 3.8339 13.4835
angles (deg): 81.83 81.83 60.00
Sites, in units of the cell vectors:
Ba  0.0906  0.0906  0.7282
Sm  0.0000  0.0000  0.0000
Li  0.5000  0.5000  0.5000
Ba  0.9094  0.9094  0.2718



Preferred: w; penalty for the next structure: 168 meV per atom.



--- w ---
Material: BaLi2Sn2
Method: DFT, PBE
State: relaxed

a b c (Å): 4.8790 4.8790 6.8168
angles (deg): 69.03 69.03 90.00
Sites, in units of the cell vectors:
Ba  0.0000  0.0000  0.0000
Sn  0.6208  0.6208  0.7584
Li  0.7500  0.2500  0.5000
Sn  0.3792  0.3792  0.2416
Li  0.2500  0.7500  0.5000



--- x ---
Material: BaLi2Sn2
Method: DFT, PBE
State: relaxed

a b c (Å): 4.5770 4.5770 7.6318
angles (deg): 90.00 90.00 114.00
Sites, in units of the cell vectors:
Li  0.8330  0.1669  0.5000
Ba  0.0000  0.0000  0.0000
Li  0.1669  0.8330  0.5000
Sn  0.5000  0.5000  0.3155
Sn  0.5000  0.5000  0.6845



--- y ---
Material: BaLi2Sn2
Method: DFT, PBE
State: relaxed

a b c (Å): 8.8436 8.8436 3.2949
angles (deg): 90.00 90.00 90.00
Sites, in units of the cell vectors:
Li  0.3801  0.8801  0.0000
Sn  0.1673  0.6673  0.5000
Li  0.1199  0.3801  0.0000
Li  0.8801  0.6199  0.0000
Li  0.6199  0.1199  0.0000
Ba  0.5000  0.5000  0.0000
Sn  0.8327  0.3327  0.5000
Sn  0.6673  0.8327  0.5000
Ba  0.0000  0.0000  0.0000
Sn  0.3327  0.1673  0.5000



--- z ---
Material: BaLi2Sn2
Method: DFT, PBE
State: relaxed

a b c (Å): 8.8136 8.8136 3.6510
angles (deg): 90.00 90.00 90.00
Sites, in units of the cell vectors:
Sn  0.6189  0.1189  0.0000
Li  0.8407  0.3407  0.5000
Sn  0.3811  0.8811  0.0000
Li  0.3407  0.1593  0.5000
Li  0.1593  0.6593  0.5000
Li  0.6593  0.8407  0.5000
Sn  0.8811  0.6189  0.0000
Ba  0.0000  0.0000  0.0000
Ba  0.5000  0.5000  0.0000
Sn  0.1189  0.3811  0.0000



Preferred: w; penalty for the next structure: 72 meV per atom.



--- w ---
Material: Ba2LiSn2
Method: DFT, PBE
State: relaxed

a b c (Å): 10.4102 10.4102 3.6127
angles (deg): 90.00 90.00 90.00
Sites, in units of the cell vectors:
Ba  0.8707  0.6293  0.0000
Sn  0.1695  0.6695  0.5000
Li  0.5000  0.5000  0.0000
Sn  0.3305  0.1695  0.5000
Li  0.0000  0.0000  0.0000
Ba  0.6293  0.1293  0.0000
Sn  0.6695  0.8305  0.5000
Ba  0.3707  0.8707  0.0000
Ba  0.1293  0.3707  0.0000
Sn  0.8305  0.3305  0.5000



--- x ---
Material: Ba2LiSn2
Method: DFT, PBE
State: relaxed

a b c (Å): 8.4601 8.4601 5.2476
angles (deg): 90.00 90.00 90.00
Sites, in units of the cell vectors:
Ba  0.3338  0.1662  0.5000
Ba  0.8338  0.3338  0.5000
Sn  0.3719  0.8719  0.0000
Sn  0.1281  0.3719  0.0000
Li  0.5000  0.5000  0.0000
Li  0.0000  0.0000  0.0000
Sn  0.8719  0.6281  0.0000
Ba  0.6662  0.8338  0.5000
Ba  0.1662  0.6662  0.5000
Sn  0.6281  0.1281  0.0000



Preferred: x; penalty for the next structure: 243 meV per atom.